i.
Entry from Alexandria: a relaxed GeP2PtS crystal (PBE-GGA).

Cell and atoms, written as extended XYZ:
```
5
Lattice="4.410 0.000 0.000 0.000 4.674 0.000 0.000 0.000 4.410" Properties=species:S:1:pos:R:3 pbc="T T T"
P 0.000 0.000 2.205
P 2.205 0.000 0.000
Ge 0.000 2.337 0.000
S 0.000 0.000 0.000
Pt 2.205 2.337 2.205
```

Computed properties:
Volume in Å³/cell: 91

ii.
Entry from Alexandria: a relaxed GeP2PtS crystal (PBE-GGA).

Cell and atoms, written as extended XYZ:
```
5
Lattice="4.584 0.000 0.000 0.000 4.584 0.000 0.000 0.000 5.107" Properties=species:S:1:pos:R:3 pbc="T T T"
P 0.000 2.292 0.000
P 2.292 0.000 0.000
Ge 2.292 2.292 2.554
S 0.000 0.000 2.554
Pt 0.000 0.000 0.000
```

Computed properties:
Volume in Å³/cell: 107

Verdict on stability: ii comes out on top.